# RbHg2As2 | the Alexandria database | PBE | optimized geometry
data_RbHg2As2
_chemical_formula_sum 'Rb2 Hg4 As4'
_symmetry_space_group_name_H-M 'P 1'
_symmetry_Int_Tables_number 1
_cell_length_a 8.851
_cell_length_b 8.851
_cell_length_c 3.319
_cell_angle_alpha 90.00
_cell_angle_beta 90.00
_cell_angle_gamma 90.00
loop_
_symmetry_equiv_pos_as_xyz
'x,y,z'
loop_
_atom_site_label
_atom_site_type_symbol
_atom_site_fract_x
_atom_site_fract_y
_atom_site_fract_z
As1 As 0.354 0.854 0.000
As2 As 0.854 0.646 0.000
As3 As 0.646 0.146 0.000
As4 As 0.146 0.354 0.000
Hg1 Hg 0.147 0.647 0.500
Hg2 Hg 0.647 0.853 0.500
Hg3 Hg 0.853 0.353 0.500
Hg4 Hg 0.353 0.147 0.500
Rb1 Rb 0.000 0.000 0.000
Rb2 Rb 0.500 0.500 0.000
# calculated total energy: -20.55 eV/cell
# polymorph energy (0 for the lowest one): 243 meV per atom
# size of the total moment: 0.00 Bohr magnetons per cell